(1)
VASP calculation (PBE+U) on an optimized crystal structure of FeRhNF2.

## Properties
The crystal system is tetragonal. The density of states at the Fermi level is 0.54 states/eV/atom. The value obtained for the polymorph energy (0 for the lowest one) is 0 kJ/mol of formula units. The value obtained for the electronic total energy is -5.2104 eV/atom.

Geometry as CIF:
```
data_FeRhNF2
_space_group_name_H-M_alt 'P 4/m m m'
_space_group_IT_number 123
_space_group_name_Hall '-P 4 2'
_cell_length_a 4.383
_cell_length_b 4.383
_cell_length_c 3.689
_cell_angle_alpha 90.00
_cell_angle_beta 90.00
_cell_angle_gamma 90.00
loop_
_atom_site_label
_atom_site_fract_x
_atom_site_fract_y
_atom_site_fract_z
Fe1 0.000 0.000 0.000
Rh1 0.500 0.500 0.500
N1 0.500 0.500 0.000
F1 0.000 0.500 0.500
```

=====

(2)
VASP calculation (PBE+U) on an optimized crystal structure of FeRhNF2.

## Properties
The crystal system is tetragonal. The density of states at the Fermi level is 1.00 states/eV/atom. The value obtained for the polymorph energy (0 for the lowest one) is 32 kJ/mol of formula units. The value obtained for the electronic total energy is -5.1438 eV/atom.

Geometry as CIF:
```
data_FeRhNF2
_space_group_name_H-M_alt 'P 4/m m m'
_space_group_IT_number 123
_space_group_name_Hall '-P 4 2'
_cell_length_a 3.799
_cell_length_b 3.799
_cell_length_c 4.331
_cell_angle_alpha 90.00
_cell_angle_beta 90.00
_cell_angle_gamma 90.00
loop_
_atom_site_label
_atom_site_fract_x
_atom_site_fract_y
_atom_site_fract_z
Fe1 0.000 0.000 0.000
Rh1 0.500 0.500 0.500
N1 0.000 0.000 0.500
F1 0.000 0.500 0.000
```

=====

(3)
VASP calculation (PBE+U) on an optimized crystal structure of FeSN2F.

## Properties
The crystal system is tetragonal. The density of states at the Fermi level is 0.34 states/eV/atom. The value obtained for the polymorph energy (0 for the lowest one) is 74 kJ/mol of formula units. The value obtained for the electronic total energy is -4.3891 eV/atom.

Geometry as CIF:
```
data_FeSN2F
_space_group_name_H-M_alt 'P 4/m m m'
_space_group_IT_number 123
_space_group_name_Hall '-P 4 2'
_cell_length_a 3.744
_cell_length_b 3.744
_cell_length_c 3.741
_cell_angle_alpha 90.00
_cell_angle_beta 90.00
_cell_angle_gamma 90.00
loop_
_atom_site_label
_atom_site_fract_x
_atom_site_fract_y
_atom_site_fract_z
Fe1 0.000 0.000 0.000
S1 0.500 0.500 0.500
N1 0.000 0.500 0.000
F1 0.000 0.000 0.500
```

=====

(4)
VASP calculation (PBE+U) on an optimized crystal structure of FeSN2F.

## Properties
The crystal system is tetragonal. The density of states at the Fermi level is 0.42 states/eV/atom. The value obtained for the polymorph energy (0 for the lowest one) is 507 kJ/mol of formula units. The value obtained for the electronic total energy is -3.4917 eV/atom.

Geometry as CIF:
```
data_FeSN2F
_space_group_name_H-M_alt 'P 4/m m m'
_space_group_IT_number 123
_space_group_name_Hall '-P 4 2'
_cell_length_a 3.987
_cell_length_b 3.987
_cell_length_c 3.918
_cell_angle_alpha 90.00
_cell_angle_beta 90.00
_cell_angle_gamma 90.00
loop_
_atom_site_label
_atom_site_fract_x
_atom_site_fract_y
_atom_site_fract_z
Fe1 0.000 0.000 0.000
S1 0.500 0.500 0.000
N1 0.000 0.500 0.500
F1 0.500 0.500 0.500
```

=====

Question: Look up the electronic total energy of the first one.
Answer: -5.2104 eV/atom